VASP calculation (PBE-GGA) on a relaxed Zr2TaAl crystal.

```
data_Zr2TaAl
_chemical_formula_sum 'Zr2 Ta1 Al1'
_cell_length_a 4.814
_cell_length_b 4.814
_cell_length_c 4.814
_cell_angle_alpha 60.00
_cell_angle_beta 60.00
_cell_angle_gamma 60.00
_space_group_name_H-M_alt 'P 1'
_space_group_IT_number 1
loop_
_space_group_symop_operation_xyz
'x,y,z'
loop_
_atom_site_label
_atom_site_fract_x
_atom_site_fract_y
_atom_site_fract_z
_atom_site_occupancy
Al1 0.500 0.500 0.500 1
Zr1 0.250 0.250 0.250 1
Zr2 0.000 0.000 0.000 1
Ta1 0.750 0.750 0.750 1
```

Computed properties:
As for the energy relative to the elements: -0.3 kJ/mol of atoms. The calculation puts the mass density at 8.22 g/cm3. For the total magnetization, the calculation gives 0.0 μB/cell. As for the crystal system: cubic.

***

VASP calculation (PBE-GGA) on a relaxed AlP2PtS crystal.

```
data_AlP2PtS
_chemical_formula_sum 'Al1 P2 Pt1 S1'
_cell_length_a 4.586
_cell_length_b 4.586
_cell_length_c 5.084
_cell_angle_alpha 90.00
_cell_angle_beta 90.00
_cell_angle_gamma 90.00
_space_group_name_H-M_alt 'P 1'
_space_group_IT_number 1
loop_
_space_group_symop_operation_xyz
'x,y,z'
loop_
_atom_site_label
_atom_site_fract_x
_atom_site_fract_y
_atom_site_fract_z
_atom_site_occupancy
P1 0.500 0.000 0.000 1
S1 0.000 0.000 0.500 1
Al1 0.500 0.500 0.500 1
P2 0.000 0.500 0.000 1
Pt1 0.000 0.000 0.000 1
```

Computed properties:
Its energy above the lowest structure with this stoichiometry is 0.000 eV per atom. The calculation puts the mass density at 4.91 g/cm3. Its uncorrected formation energy is 3.43 eV/f.u. For the total magnetization, the calculation gives 0.0 μB/cell. As for the crystal system: tetragonal.

***

Q: Look up the mass density of the first one.
A: 8.22 g/cm3